# 1
YOs2SeO: relaxed, PBE-GGA.

Unit cell a=5.277 b=4.113 c=5.277 alpha=90.00 beta=90.00 gamma=90.00
Last column: magnetic moment on the atom in μB.
Sites, in units of the cell vectors:
Y1 0.000 0.000 0.000  -0.08
Os1 0.000 0.000 0.500  2.07
Os2 0.500 0.000 0.000  2.23
O1 0.000 0.500 0.000  0.39
Se1 0.500 0.500 0.500  -0.06

---

# 2
YOsSe2O: relaxed, PBE-GGA.

Unit cell a=5.420 b=5.686 c=5.420 alpha=90.00 beta=90.00 gamma=90.00
Last column: magnetic moment on the atom in μB.
Sites, in units of the cell vectors:
Y1 0.000 0.000 0.000  -0.07
Os1 0.000 0.500 0.000  3.05
O1 0.500 0.500 0.500  -1.26
Se1 0.000 0.000 0.500  0.14
Se2 0.500 0.000 0.000  0.16

---

# 3
SiOsO: relaxed, PBE-GGA.

Unit cell a=2.938 b=2.938 c=6.254 alpha=61.98 beta=61.98 gamma=59.97
Sites, in units of the cell vectors:
O1 0.354 0.354 0.757
Os1 0.098 0.098 0.140
Si1 0.554 0.554 0.456

---

# 4
SiOsO2: relaxed, PBE-GGA.

Unit cell a=9.750 b=9.750 c=9.750 alpha=15.55 beta=15.55 gamma=15.55
Last column: magnetic moment on the atom in μB.
Sites, in units of the cell vectors:
Si1 0.500 0.500 0.500  0.00
Os1 0.000 0.000 0.000  0.57
O1 0.866 0.866 0.866  0.00
O2 0.134 0.134 0.134  0.00

---

Number 1: total magnetization 1.013 μB per atom, uncorrected formation energy 1.58 eV/atom. Number 2: total magnetization 0.476 μB per atom, uncorrected formation energy 1.40 eV/atom. Number 3: total magnetization 0.000 μB per atom, uncorrected formation energy -0.70 eV/atom. Number 4: total magnetization 0.166 μB per atom, uncorrected formation energy -1.22 eV/atom.